a:
Computed, not measured: crystalline TbMgScOs at its relaxed geometry at the PBE level of DFT.

Properties
**Fermi-level density of states**: 0.598 states/eV/atom

Geometry as CIF:
```
data_TbMgScOs
_cell_length_a 3.359
_cell_length_b 3.359
_cell_length_c 7.874
_cell_angle_alpha 90.00
_cell_angle_beta 90.00
_cell_angle_gamma 90.00
_symmetry_space_group_name_H-M 'P 4 m m'
_symmetry_Int_Tables_number 99
loop_
_symmetry_equiv_pos_as_xyz
'x,y,z'
'-y,x,z'
'-x,-y,z'
'y,-x,z'
'-x,y,z'
'y,x,z'
'x,-y,z'
'-y,-x,z'
loop_
_atom_site_label
_atom_site_type_symbol
_atom_site_fract_x
_atom_site_fract_y
_atom_site_fract_z
Tb1 Tb 0.000 0.000 0.000
Mg1 Mg 0.500 0.500 0.320
Sc1 Sc 0.000 0.000 0.595
Os1 Os 0.500 0.500 0.778
```

***

b:
Computed, not measured: crystalline TbMgScOs at its relaxed geometry at the PBE level of DFT.

Properties
**Fermi-level density of states**: 0.867 states/eV/atom

Geometry as CIF:
```
data_TbMgScOs
_cell_length_a 6.888
_cell_length_b 6.888
_cell_length_c 6.888
_cell_angle_alpha 90.00
_cell_angle_beta 90.00
_cell_angle_gamma 90.00
_symmetry_space_group_name_H-M 'F -4 3 m'
_symmetry_Int_Tables_number 216
_symmetry_space_group_name_Hall 'F -4 2 3'
loop_
_atom_site_label
_atom_site_type_symbol
_atom_site_fract_x
_atom_site_fract_y
_atom_site_fract_z
Tb1 Tb 0.000 0.000 0.000
Mg1 Mg 0.250 0.250 0.250
Sc1 Sc 0.000 0.000 0.500
Os1 Os 0.250 0.250 0.750
```

***

Name the least stable of them. b.

***

a:
Computed, not measured: crystalline YMgScOs at its relaxed geometry at the PBE level of DFT.

Properties
**Fermi-level density of states**: 0.934 states/eV/atom

Geometry as CIF:
```
data_YMgScOs
_cell_length_a 6.885
_cell_length_b 6.885
_cell_length_c 6.885
_cell_angle_alpha 90.00
_cell_angle_beta 90.00
_cell_angle_gamma 90.00
_symmetry_space_group_name_H-M 'F -4 3 m'
_symmetry_Int_Tables_number 216
_symmetry_space_group_name_Hall 'F -4 2 3'
loop_
_atom_site_label
_atom_site_type_symbol
_atom_site_fract_x
_atom_site_fract_y
_atom_site_fract_z
Y1 Y 0.000 0.000 0.000
Mg1 Mg 0.250 0.250 0.750
Sc1 Sc 0.000 0.000 0.500
Os1 Os 0.250 0.250 0.250
```

***

b:
Computed, not measured: crystalline YMgScOs at its relaxed geometry at the PBE level of DFT.

Properties
**Fermi-level density of states**: 0.519 states/eV/atom

Geometry as CIF:
```
data_YMgScOs
_cell_length_a 3.367
_cell_length_b 3.367
_cell_length_c 7.802
_cell_angle_alpha 90.00
_cell_angle_beta 90.00
_cell_angle_gamma 90.00
_symmetry_space_group_name_H-M 'P 4 m m'
_symmetry_Int_Tables_number 99
loop_
_symmetry_equiv_pos_as_xyz
'x,y,z'
'-y,x,z'
'-x,-y,z'
'y,-x,z'
'-x,y,z'
'y,x,z'
'x,-y,z'
'-y,-x,z'
loop_
_atom_site_label
_atom_site_type_symbol
_atom_site_fract_x
_atom_site_fract_y
_atom_site_fract_z
Y1 Y 0.000 0.000 0.000
Mg1 Mg 0.500 0.500 0.318
Sc1 Sc 0.000 0.000 0.593
Os1 Os 0.500 0.500 0.776
```

***

Name the least stable of them. a.

***

a:
Computed, not measured: crystalline MgOsSe at its relaxed geometry at the PBE level of DFT.

Properties
**Fermi-level density of states**: 1.005 states/eV/atom

Geometry as CIF:
```
data_MgOsSe
_cell_length_a 4.2787
_cell_length_b 4.2787
_cell_length_c 3.2092
_cell_angle_alpha 90.00
_cell_angle_beta 90.00
_cell_angle_gamma 120.00
_symmetry_space_group_name_H-M 'P -6 m 2'
_symmetry_Int_Tables_number 187
_symmetry_space_group_name_Hall 'P -6 2'
loop_
_atom_site_label
_atom_site_type_symbol
_atom_site_fract_x
_atom_site_fract_y
_atom_site_fract_z
Mg1 Mg 0.0000 0.0000 0.0000
Os1 Os 0.6667 0.3333 0.5000
Se1 Se 0.3333 0.6667 0.5000
```

***

b:
Computed, not measured: crystalline MgOsSe at its relaxed geometry at the PBE level of DFT.

Properties
**Fermi-level density of states**: 0.423 states/eV/atom

Geometry as CIF:
```
data_MgOsSe
_cell_length_a 3.056
_cell_length_b 3.056
_cell_length_c 11.351
_cell_angle_alpha 90.00
_cell_angle_beta 90.00
_cell_angle_gamma 90.00
_symmetry_space_group_name_H-M 'I 4 m m'
_symmetry_Int_Tables_number 107
_symmetry_space_group_name_Hall 'I 4 -2'
loop_
_atom_site_label
_atom_site_type_symbol
_atom_site_fract_x
_atom_site_fract_y
_atom_site_fract_z
Mg1 Mg 0.000 0.000 0.000
Os1 Os 0.000 0.000 0.662
Se1 Se 0.000 0.000 0.283
```

***

Name the least stable of them. a.